(1)
This record from the Alexandria database describes crystalline Y2Ni2Ag at its relaxed geometry. The functional is PBE.

Output
crystal system	tetragonal
polymorph energy (0 for the lowest one)	1.14	eV/f.u.
energy of formation	-0.181	eV per atom

a b c (Å): 3.608 3.608 15.827
angles (deg): 90.00 90.00 90.00
Space group I4/mmm (No. 139)
Asymmetric unit:
Y  0.000  0.000  0.118
Ni  0.000  0.500  0.250
Ag  0.000  0.000  0.500



(2)
This record from the Alexandria database describes crystalline YNiAg2 at its relaxed geometry. The functional is PBE.

Output
crystal system	trigonal
energy of formation	0.321	eV per atom

a b c (Å): 3.0968 3.0968 27.8686
angles (deg): 90.00 90.00 120.00
Space group R-3m (No. 166, hexagonal axes)
Asymmetric unit:
Y  0.0000  0.0000  0.0000
Ni  0.0000  0.0000  0.5000
Ag  0.0000  0.0000  0.2394



(3)
This record from the Alexandria database describes crystalline Y4Ni2Ag5 at its relaxed geometry. The functional is PBE.

Output
crystal system	monoclinic
energy of formation	-0.317	eV per atom

a b c (Å): 7.280 3.669 8.983
angles (deg): 90.00 96.12 90.00
Space group P2/m (No. 10)
Asymmetric unit:
Y  0.187  0.000  0.352
Y  0.229  0.000  0.934
Ni  0.067  0.500  0.133
Ag  0.164  0.500  0.642
Ag  0.453  0.500  0.177
Ag  0.500  0.500  0.500



(4)
This record from the Alexandria database describes crystalline YNiAg at its relaxed geometry. The functional is PBE.

Output
crystal system	cubic
energy of formation	-0.154	eV per atom

a b c (Å): 6.356 6.356 6.356
angles (deg): 90.00 90.00 90.00
Space group F-43m (No. 216)
Asymmetric unit:
Y  0.000  0.000  0.000
Ni  0.250  0.250  0.750
Ag  0.000  0.000  0.500



(5)
This record from the Alexandria database describes crystalline Y3Ni7Ag2 at its relaxed geometry. The functional is PBE.

Output
crystal system	trigonal
energy of formation	-0.310	eV per atom

a b c (Å): 5.1251 5.1251 25.1237
angles (deg): 90.00 90.00 120.00
Space group R-3m (No. 166, hexagonal axes)
Asymmetric unit:
Y  0.0000  0.0000  0.0000
Y  0.0000  0.0000  0.1394
Ni  0.0000  0.0000  0.5000
Ni  0.0027  0.5013  0.9118
Ag  0.0000  0.0000  0.3337



(6)
This record from the Alexandria database describes crystalline YNiAg2 at its relaxed geometry. The functional is PBE.

Output
crystal system	tetragonal
energy of formation	0.039	eV per atom

a b c (Å): 3.932 3.932 20.669
angles (deg): 90.00 90.00 90.00
Space group I-42d (No. 122)
Asymmetric unit:
Y  0.000  0.000  0.000
Ni  0.000  0.000  0.500
Ag  0.232  0.250  0.625



(7)
This record from the Alexandria database describes crystalline YNiAg3 at its relaxed geometry. The functional is PBE.

Output
crystal system	cubic
polymorph energy (0 for the lowest one)	0.00	eV/f.u.
energy of formation	0.282	eV per atom

a b c (Å): 4.799 4.799 4.799
angles (deg): 90.00 90.00 90.00
Space group Pm-3m (No. 221)
Asymmetric unit:
Y  0.000  0.000  0.000
Ni  0.500  0.500  0.500
Ag  0.000  0.500  0.500



(8)
This record from the Alexandria database describes crystalline Y3NiAg at its relaxed geometry. The functional is PBE.

Output
crystal system	monoclinic
polymorph energy (0 for the lowest one)	0.00	eV/f.u.
energy of formation	-0.254	eV per atom

a b c (Å): 10.161 6.489 8.521
angles (deg): 90.00 116.97 90.00
Space group C2/m (No. 12)
Asymmetric unit:
Y  0.030  0.000  0.226
Y  0.181  0.500  0.872
Y  0.209  0.500  0.318
Ni  0.000  0.308  0.000
Ag  0.000  0.284  0.500